Entry 1:
{"formula": "LiLuReTc", "functional": "PBE-GGA", "state": "optimized geometry", "polymorph_energy_mev_per_atom": 0, "spacegroup": "F-43m", "vol_a3_per_cell": 256.9, "lattice": [[6.357, 0.000, 0.000], [0.000, 6.357, 0.000], [0.000, 0.000, 6.357]], "species": ["Li", "Li", "Li", "Li", "Lu", "Lu", "Lu", "Lu", "Re", "Re", "Re", "Re", "Tc", "Tc", "Tc", "Tc"], "frac_coords": [[0.000, 0.000, 0.000], [0.000, 0.500, 0.500], [0.500, 0.000, 0.500], [0.500, 0.500, 0.000], [0.250, 0.250, 0.750], [0.250, 0.750, 0.250], [0.750, 0.250, 0.250], [0.750, 0.750, 0.750], [0.250, 0.250, 0.250], [0.250, 0.750, 0.750], [0.750, 0.250, 0.750], [0.750, 0.750, 0.250], [0.000, 0.000, 0.500], [0.000, 0.500, 0.000], [0.500, 0.000, 0.000], [0.500, 0.500, 0.500]]}



Entry 2:
{"formula": "NaTmGeSe3", "functional": "PBE-GGA", "state": "optimized geometry", "spacegroup": "Cmcm", "vol_a3_per_cell": 329.2, "lattice": [[2.152, -6.908, 0.000], [2.152, 6.908, 0.000], [0.000, 0.000, 11.075]], "species": ["Na", "Na", "Tm", "Tm", "Ge", "Ge", "Se", "Se", "Se", "Se", "Se", "Se"], "frac_coords": [[0.245, 0.755, 0.750], [0.755, 0.245, 0.250], [0.500, 0.500, 0.000], [0.500, 0.500, 0.500], [0.032, 0.968, 0.250], [0.968, 0.032, 0.750], [0.135, 0.865, 0.049], [0.135, 0.865, 0.451], [0.418, 0.582, 0.250], [0.582, 0.418, 0.750], [0.865, 0.135, 0.549], [0.865, 0.135, 0.951]]}



Entry 3:
{"formula": "HoBeMo", "functional": "PBE-GGA", "state": "optimized geometry", "polymorph_energy_mev_per_atom": 930, "spacegroup": "F-43m", "vol_a3_per_cell": 248.8, "lattice": [[6.290, 0.000, 0.000], [0.000, 6.290, 0.000], [0.000, 0.000, 6.290]], "species": ["Ho", "Ho", "Ho", "Ho", "Be", "Be", "Be", "Be", "Mo", "Mo", "Mo", "Mo"], "frac_coords": [[0.000, 0.000, 0.000], [0.000, 0.500, 0.500], [0.500, 0.000, 0.500], [0.500, 0.500, 0.000], [0.250, 0.250, 0.750], [0.250, 0.750, 0.250], [0.750, 0.250, 0.250], [0.750, 0.750, 0.750], [0.250, 0.250, 0.250], [0.250, 0.750, 0.750], [0.750, 0.250, 0.750], [0.750, 0.750, 0.250]]}



Entry 4:
{"formula": "TlSb2Au2", "functional": "PBE-GGA", "state": "optimized geometry", "spacegroup": "Cmcm", "vol_a3_per_cell": 276.7, "lattice": [[1.605, -6.582, 0.000], [1.605, 6.582, 0.000], [0.000, 0.000, 13.098]], "species": ["Tl", "Tl", "Sb", "Sb", "Sb", "Sb", "Au", "Au", "Au", "Au"], "frac_coords": [[0.018, 0.982, 0.750], [0.982, 0.018, 0.250], [0.312, 0.688, 0.079], [0.312, 0.688, 0.421], [0.688, 0.312, 0.579], [0.688, 0.312, 0.921], [0.198, 0.802, 0.250], [0.500, 0.500, 0.000], [0.500, 0.500, 0.500], [0.802, 0.198, 0.750]]}



Entry 5:
{"formula": "LiTbCdTe3", "functional": "PBE-GGA", "state": "optimized geometry", "polymorph_energy_mev_per_atom": 48, "spacegroup": "Pnma", "vol_a3_per_cell": 719.8, "lattice": [[11.588, 0.000, 0.000], [0.000, 4.319, 0.000], [0.000, 0.000, 14.383]], "species": ["Li", "Li", "Li", "Li", "Tb", "Tb", "Tb", "Tb", "Cd", "Cd", "Cd", "Cd", "Te", "Te", "Te", "Te", "Te", "Te", "Te", "Te", "Te", "Te", "Te", "Te"], "frac_coords": [[0.237, 0.250, 0.040], [0.263, 0.750, 0.540], [0.737, 0.250, 0.460], [0.763, 0.750, 0.960], [0.003, 0.750, 0.748], [0.497, 0.250, 0.248], [0.503, 0.750, 0.752], [0.997, 0.250, 0.252], [0.248, 0.750, 0.230], [0.252, 0.250, 0.730], [0.748, 0.750, 0.270], [0.752, 0.250, 0.770], [0.061, 0.750, 0.105], [0.067, 0.250, 0.603], [0.247, 0.250, 0.356], [0.253, 0.750, 0.856], [0.433, 0.750, 0.103], [0.439, 0.250, 0.605], [0.561, 0.750, 0.395], [0.567, 0.250, 0.897], [0.747, 0.250, 0.144], [0.753, 0.750, 0.644], [0.933, 0.750, 0.397], [0.939, 0.250, 0.895]]}



Entry 6:
{"formula": "Al3Re", "functional": "PBE-GGA", "state": "optimized geometry", "spacegroup": "Pm-3m", "vol_a3_per_cell": 59.4, "lattice": [[3.902, 0.000, 0.000], [0.000, 3.902, 0.000], [0.000, 0.000, 3.902]], "species": ["Al", "Al", "Al", "Re"], "frac_coords": [[0.000, 0.000, 0.500], [0.000, 0.500, 0.000], [0.500, 0.000, 0.000], [0.500, 0.500, 0.500]]}



Entry 7:
{"formula": "ZrBeZn", "functional": "PBE-GGA", "state": "optimized geometry", "spacegroup": "F-43m", "vol_a3_per_cell": 226.7, "lattice": [[6.097, 0.000, 0.000], [0.000, 6.097, 0.000], [0.000, 0.000, 6.097]], "species": ["Zr", "Zr", "Zr", "Zr", "Be", "Be", "Be", "Be", "Zn", "Zn", "Zn", "Zn"], "frac_coords": [[0.000, 0.000, 0.000], [0.000, 0.500, 0.500], [0.500, 0.000, 0.500], [0.500, 0.500, 0.000], [0.250, 0.250, 0.750], [0.250, 0.750, 0.250], [0.750, 0.250, 0.250], [0.750, 0.750, 0.750], [0.250, 0.250, 0.250], [0.250, 0.750, 0.750], [0.750, 0.250, 0.750], [0.750, 0.750, 0.250]]}



Entry 8:
{"formula": "CsCu2TeSe", "functional": "PBE-GGA", "state": "optimized geometry", "spacegroup": "I4mm", "vol_a3_per_cell": 261.3, "lattice": [[4.091, 0.000, 0.000], [0.000, 4.091, 0.000], [0.000, 0.000, 15.610]], "species": ["Cs", "Cs", "Cu", "Cu", "Cu", "Cu", "Te", "Te", "Se", "Se"], "frac_coords": [[0.000, 0.000, 0.000], [0.500, 0.500, 0.500], [0.000, 0.500, 0.273], [0.000, 0.500, 0.773], [0.500, 0.000, 0.273], [0.500, 0.000, 0.773], [0.000, 0.000, 0.666], [0.500, 0.500, 0.166], [0.000, 0.000, 0.364], [0.500, 0.500, 0.864]]}



Entry 9:
{"formula": "Na3Fe", "functional": "PBE-GGA", "state": "optimized geometry", "spacegroup": "P6_3/mmc", "vol_a3_per_cell": 209.2, "lattice": [[6.723, 0.000, 0.000], [-3.362, 5.822, 0.000], [0.000, 0.000, 5.344]], "species": ["Na", "Na", "Na", "Na", "Na", "Na", "Fe", "Fe"], "frac_coords": [[0.175, 0.350, 0.250], [0.175, 0.825, 0.250], [0.350, 0.175, 0.750], [0.650, 0.825, 0.250], [0.825, 0.175, 0.750], [0.825, 0.650, 0.750], [0.333, 0.667, 0.750], [0.667, 0.333, 0.250]]}



Entry 10:
{"formula": "BaZnBAu", "functional": "PBE-GGA", "state": "optimized geometry", "polymorph_energy_mev_per_atom": 39, "spacegroup": "F-43m", "vol_a3_per_cell": 361.1, "lattice": [[7.121, 0.000, 0.000], [0.000, 7.121, 0.000], [0.000, 0.000, 7.121]], "species": ["Ba", "Ba", "Ba", "Ba", "Zn", "Zn", "Zn", "Zn", "B", "B", "B", "B", "Au", "Au", "Au", "Au"], "frac_coords": [[0.000, 0.000, 0.000], [0.000, 0.500, 0.500], [0.500, 0.000, 0.500], [0.500, 0.500, 0.000], [0.000, 0.000, 0.500], [0.000, 0.500, 0.000], [0.500, 0.000, 0.000], [0.500, 0.500, 0.500], [0.250, 0.250, 0.250], [0.250, 0.750, 0.750], [0.750, 0.250, 0.750], [0.750, 0.750, 0.250], [0.250, 0.250, 0.750], [0.250, 0.750, 0.250], [0.750, 0.250, 0.250], [0.750, 0.750, 0.750]]}



Entry 11:
{"formula": "TbAg2", "functional": "PBE-GGA", "state": "optimized geometry", "ef_ev_per_atom": -0.172, "spacegroup": "Fd-3m", "vol_a3_per_cell": 127.5, "lattice": [[0.000, 3.995, 3.995], [3.995, 0.000, 3.995], [3.995, 3.995, 0.000]], "species": ["Tb", "Tb", "Ag", "Ag", "Ag", "Ag"], "frac_coords": [[0.125, 0.125, 0.125], [0.875, 0.875, 0.875], [0.000, 0.500, 0.500], [0.500, 0.000, 0.500], [0.500, 0.500, 0.000], [0.500, 0.500, 0.500]]}



Entry 12:
{"formula": "Ba2Li3NdPb3", "functional": "PBE-GGA", "state": "optimized geometry", "spacegroup": "P-6m2", "vol_a3_per_cell": 280.1, "lattice": [[5.080, 0.000, 0.000], [-2.540, 4.400, 0.000], [0.000, 0.000, 12.531]], "species": ["Ba", "Ba", "Li", "Li", "Li", "Nd", "Pb", "Pb", "Pb"], "frac_coords": [[0.000, 0.000, 0.168], [0.000, 0.000, 0.832], [0.333, 0.667, 0.000], [0.667, 0.333, 0.346], [0.667, 0.333, 0.654], [0.000, 0.000, 0.500], [0.333, 0.667, 0.370], [0.333, 0.667, 0.630], [0.667, 0.333, 0.000]]}



Uncorrected energy for every record listed, in sequence, given in eV per atom: -7.2138 -4.4496 -4.8442 -3.2929 -3.7173 -5.9453 -3.9070 -3.4713 -2.3835 -2.6902 -3.5983 -3.3062.